Density functional theory data (PBE) for a geometry-optimized Tb3TlHg5 structure.

a b c (Å): 8.990 8.990 6.402
angles (deg): 90.00 90.00 120.00
Positions (direct):
Hg  0.665  0.665  0.750
Hg  0.335  0.000  0.750
Hg  0.333  0.667  0.000
Tl  0.000  0.000  0.500
Hg  0.335  0.335  0.250
Hg  0.667  0.333  0.500
Tb  0.000  0.664  0.750
Hg  0.667  0.333  0.000
Hg  0.333  0.667  0.500
Tb  0.664  0.000  0.750
Hg  0.000  0.335  0.750
Tb  0.664  0.664  0.250
Tb  0.336  0.336  0.750
Tl  0.000  0.000  0.000
Tb  0.336  0.000  0.250
Hg  0.665  0.000  0.250
Hg  0.000  0.665  0.250
Tb  0.000  0.336  0.250

**Magnetization**: 0.02 μB per formula unit
**Calculated density**: 12.5 g cm⁻³
**Calculated total energy**: -21.3 eV/f.u.